(1)
First-principles (PBE-GGA) data for a relaxed structure of AcTb2Pm4, as listed in the Alexandria database.

Properties
The formation energy from the elements comes out at 220 meV/atom. As for the space-group type: Imma (74). The value obtained for the energy above the most stable polymorph in this dataset is 0.000 eV/atom.

Unit cell a=9.1715 b=9.1715 c=9.1715 alpha=135.11 beta=99.92 gamma=96.84
Closest atoms and distances in Å follow each position.
Positions (direct):
Ac 0.0000 0.0000 0.0000  8 Pm 3.56-3.93
Ac 0.5000 0.0000 0.5000  8 Pm 3.56-3.93
Tb 0.0000 0.0000 0.5000  2 Pm 3.18, 2 Tb 3.50
Tb 0.0000 0.5000 0.0000  2 Pm 3.18, 2 Tb 3.50
Tb 0.4737 0.2237 0.2500  6 Pm 3.27-3.57, 2 Tb 3.56
Tb 0.5263 0.7763 0.7500  6 Pm 3.27-3.57, 2 Tb 3.56
Pm 0.1385 0.6456 0.4929  3 Tb 3.43-3.59, 5 Pm 3.55-3.77
Pm 0.2607 0.2944 0.5337  1 Pm 3.03, 2 Tb 3.18-3.27
Pm 0.2607 0.7271 0.9663  1 Pm 3.03, 2 Tb 3.18-3.27
Pm 0.3473 0.3544 0.9929  3 Tb 3.43-3.59, 5 Pm 3.55-3.77
Pm 0.6527 0.6456 0.0071  3 Tb 3.43-3.59, 5 Pm 3.55-3.77
Pm 0.7393 0.2729 0.0337  1 Pm 3.03, 2 Tb 3.18-3.27
Pm 0.7393 0.7056 0.4663  1 Pm 3.03, 2 Tb 3.18-3.27
Pm 0.8615 0.3544 0.5071  3 Tb 3.43-3.59, 5 Pm 3.55-3.77



(2)
First-principles (PBE-GGA) data for a relaxed structure of AcTb4Pm4, as listed in the Alexandria database.

Properties
The formation energy from the elements comes out at 29 meV/atom. As for the space-group type: P-1 (2).

Unit cell a=6.3202 b=9.6597 c=10.9385 alpha=100.86 beta=106.74 gamma=96.26
Closest atoms and distances in Å follow each position.
Positions (direct):
Ac 0.2485 0.4159 0.1960  5 Tb 3.64-3.71, 7 Pm 3.66-3.70
Ac 0.7515 0.5841 0.8040  5 Tb 3.64-3.71, 7 Pm 3.66-3.70
Tb 0.2443 0.4144 0.5282  6 Pm 3.60-3.71, 4 Tb 3.61-3.73, 2 Ac 3.64-3.67
Tb 0.2491 0.0833 0.6369  6 Tb 3.59-3.64, 6 Pm 3.60-3.65
Tb 0.2496 0.0795 0.3079  6 Pm 3.57-3.69, 5 Tb 3.59-3.66, 1 Ac 3.68
Tb 0.2584 0.7557 0.0866  2 Tb 3.59-3.61, 8 Pm 3.60-3.75, 2 Ac 3.70-3.71
Tb 0.7416 0.2443 0.9134  2 Tb 3.59-3.61, 8 Pm 3.60-3.75, 2 Ac 3.70-3.71
Tb 0.7504 0.9205 0.6921  6 Pm 3.57-3.69, 5 Tb 3.59-3.66, 1 Ac 3.68
Tb 0.7509 0.9167 0.3631  6 Tb 3.59-3.64, 6 Pm 3.60-3.65
Tb 0.7557 0.5856 0.4718  6 Pm 3.60-3.71, 4 Tb 3.61-3.73, 2 Ac 3.64-3.67
Pm 0.2466 0.0800 0.9700  5 Pm 3.60-3.68, 6 Tb 3.60-3.69, 1 Ac 3.69
Pm 0.2483 0.4122 0.8573  5 Tb 3.60-3.75, 4 Pm 3.65-3.72, 3 Ac 3.66-3.70
Pm 0.2507 0.7546 0.7483  4 Pm 3.60-3.72, 6 Tb 3.61-3.69, 2 Ac 3.66-3.68
Pm 0.2537 0.7550 0.4191  9 Tb 3.57-3.71, 2 Pm 3.61-3.65, 1 Ac 3.69
Pm 0.7463 0.2450 0.5809  9 Tb 3.57-3.71, 2 Pm 3.61-3.65, 1 Ac 3.69
Pm 0.7493 0.2454 0.2517  4 Pm 3.60-3.72, 6 Tb 3.61-3.69, 2 Ac 3.66-3.68
Pm 0.7517 0.5878 0.1427  5 Tb 3.60-3.75, 4 Pm 3.65-3.72, 3 Ac 3.66-3.70
Pm 0.7534 0.9200 0.0300  5 Pm 3.60-3.68, 6 Tb 3.60-3.69, 1 Ac 3.69



(3)
First-principles (PBE-GGA) data for a relaxed structure of Ac12Tb6Pm, as listed in the Alexandria database.

Properties
The formation energy from the elements comes out at 266 meV/atom. As for the space-group type: R-3 (148).

Unit cell a=9.8427 b=9.8427 c=9.8427 alpha=106.52 beta=106.52 gamma=106.52
Closest atoms and distances in Å follow each position.
Positions (direct):
Ac 0.1299 0.2709 0.8319  5 Tb 3.60-3.92, 1 Pm 3.64, 5 Ac 3.73-3.94
Ac 0.1681 0.8701 0.7291  5 Tb 3.60-3.92, 1 Pm 3.64, 5 Ac 3.73-3.94
Ac 0.1909 0.4803 0.5786  4 Tb 3.63-3.98, 6 Ac 3.69-3.82
Ac 0.2709 0.8319 0.1299  5 Tb 3.60-3.92, 1 Pm 3.64, 5 Ac 3.73-3.94
Ac 0.4214 0.8091 0.5197  4 Tb 3.63-3.98, 6 Ac 3.69-3.82
Ac 0.4803 0.5786 0.1909  4 Tb 3.63-3.98, 6 Ac 3.69-3.82
Ac 0.5197 0.4214 0.8091  4 Tb 3.63-3.98, 6 Ac 3.69-3.82
Ac 0.5786 0.1909 0.4803  4 Tb 3.63-3.98, 6 Ac 3.69-3.82
Ac 0.7291 0.1681 0.8701  5 Tb 3.60-3.92, 1 Pm 3.64, 5 Ac 3.73-3.94
Ac 0.8091 0.5197 0.4214  4 Tb 3.63-3.98, 6 Ac 3.69-3.82
Ac 0.8319 0.1299 0.2709  5 Tb 3.60-3.92, 1 Pm 3.64, 5 Ac 3.73-3.94
Ac 0.8701 0.7291 0.1681  5 Tb 3.60-3.92, 1 Pm 3.64, 5 Ac 3.73-3.94
Tb 0.0743 0.4646 0.1882  9 Ac 3.60-3.98, 1 Tb 3.91
Tb 0.1882 0.0743 0.4646  9 Ac 3.60-3.98, 1 Tb 3.91
Tb 0.4646 0.1882 0.0743  9 Ac 3.60-3.98, 1 Tb 3.91
Tb 0.5354 0.8118 0.9257  9 Ac 3.60-3.98, 1 Tb 3.91
Tb 0.8118 0.9257 0.5354  9 Ac 3.60-3.98, 1 Tb 3.91
Tb 0.9257 0.5354 0.8118  9 Ac 3.60-3.98, 1 Tb 3.91
Pm 0.0000 0.0000 0.0000  6 Ac 3.64



(4)
First-principles (PBE-GGA) data for a relaxed structure of AcTb6Pm8, as listed in the Alexandria database.

Properties
The formation energy from the elements comes out at 193 meV/atom. As for the space-group type: R-3 (148). The value obtained for the energy above the most stable polymorph in this dataset is 0.034 eV/atom.

Unit cell a=8.3602 b=8.3602 c=8.3602 alpha=72.05 beta=72.05 gamma=72.05
Closest atoms and distances in Å follow each position.
Positions (direct):
Ac 0.0000 0.0000 0.0000  6 Pm 3.23
Tb 0.1716 0.6178 0.4300  7 Pm 3.42-3.83, 3 Tb 3.67-3.82
Tb 0.3821 0.5700 0.8284  7 Pm 3.42-3.83, 3 Tb 3.67-3.82
Tb 0.4300 0.1716 0.6178  7 Pm 3.42-3.83, 3 Tb 3.67-3.82
Tb 0.5700 0.8284 0.3821  7 Pm 3.42-3.83, 3 Tb 3.67-3.82
Tb 0.6178 0.4300 0.1716  7 Pm 3.42-3.83, 3 Tb 3.67-3.82
Tb 0.8284 0.3822 0.5700  7 Pm 3.42-3.83, 3 Tb 3.67-3.82
Pm 0.0569 0.3886 0.8562  1 Ac 3.23, 2 Pm 3.23-3.37, 4 Tb 3.42-3.51
Pm 0.1438 0.9431 0.6114  1 Ac 3.23, 2 Pm 3.23-3.37, 4 Tb 3.42-3.51
Pm 0.2365 0.2365 0.2365  6 Pm 3.37-3.64
Pm 0.3886 0.8562 0.0569  1 Ac 3.23, 2 Pm 3.23-3.37, 4 Tb 3.42-3.51
Pm 0.6114 0.1438 0.9431  1 Ac 3.23, 2 Pm 3.23-3.37, 4 Tb 3.42-3.51
Pm 0.7635 0.7635 0.7635  6 Pm 3.37-3.64
Pm 0.8562 0.0569 0.3886  1 Ac 3.23, 2 Pm 3.23-3.37, 4 Tb 3.42-3.51
Pm 0.9431 0.6114 0.1438  1 Ac 3.23, 2 Pm 3.23-3.37, 4 Tb 3.42-3.51



(5)
First-principles (PBE-GGA) data for a relaxed structure of Ac8TbPm6, as listed in the Alexandria database.

Properties
The formation energy from the elements comes out at 231 meV/atom. As for the space-group type: P-3 (147).

Unit cell a=10.0139 b=10.0139 c=7.2516 alpha=90.00 beta=90.00 gamma=120.00
Closest atoms and distances in Å follow each position.
Positions (direct):
Ac 0.0457 0.6946 0.1179  3 Pm 3.42-3.81, 2 Ac 3.73
Ac 0.3054 0.3511 0.1179  3 Pm 3.42-3.81, 2 Ac 3.73
Ac 0.3333 0.6667 0.7376  6 Pm 3.73-3.81, 6 Ac 3.86-4.10
Ac 0.3511 0.0457 0.8821  3 Pm 3.42-3.81, 2 Ac 3.73
Ac 0.6489 0.9543 0.1179  3 Pm 3.42-3.81, 2 Ac 3.73
Ac 0.6667 0.3333 0.2624  6 Pm 3.73-3.81, 6 Ac 3.86-4.10
Ac 0.6946 0.6489 0.8821  3 Pm 3.42-3.81, 2 Ac 3.73
Ac 0.9543 0.3054 0.8821  3 Pm 3.42-3.81, 2 Ac 3.73
Tb 0.0000 0.0000 0.5000  6 Pm 3.61
Pm 0.0431 0.3727 0.4006  1 Pm 3.39, 3 Ac 3.42-3.73, 1 Tb 3.61
Pm 0.3297 0.9569 0.4006  1 Pm 3.39, 3 Ac 3.42-3.73, 1 Tb 3.61
Pm 0.3727 0.3297 0.5994  1 Pm 3.39, 3 Ac 3.42-3.73, 1 Tb 3.61
Pm 0.6273 0.6703 0.4006  1 Pm 3.39, 3 Ac 3.42-3.73, 1 Tb 3.61
Pm 0.6703 0.0431 0.5994  1 Pm 3.39, 3 Ac 3.42-3.73, 1 Tb 3.61
Pm 0.9569 0.6273 0.5994  1 Pm 3.39, 3 Ac 3.42-3.73, 1 Tb 3.61



(6)
First-principles (PBE-GGA) data for a relaxed structure of AcTb4Pm2, as listed in the Alexandria database.

Properties
The formation energy from the elements comes out at 40 meV/atom. As for the space-group type: P1 (1). The value obtained for the energy above the most stable polymorph in this dataset is 0.000 eV/atom.

Unit cell a=6.9424 b=8.6473 c=9.4280 alpha=65.67 beta=71.54 gamma=76.80
Closest atoms and distances in Å follow each position.
Positions (direct):
Ac 0.0000 0.0000 0.0000  7 Tb 3.65-3.81, 3 Pm 3.67-3.82, 2 Ac 3.68
Ac 0.4713 0.8941 0.1373  7 Tb 3.64-3.81, 3 Pm 3.67-3.82, 2 Ac 3.68
Tb 0.0382 0.1872 0.2757  3 Pm 3.52-3.79, 7 Tb 3.58-3.66, 2 Ac 3.68-3.73
Tb 0.2872 0.1393 0.5732  7 Tb 3.58-3.74, 4 Pm 3.58-3.73, 1 Ac 3.69
Tb 0.4330 0.7091 0.8628  4 Pm 3.54-3.78, 6 Tb 3.58-3.74, 2 Ac 3.66-3.71
Tb 0.5638 0.2870 0.1559  7 Tb 3.54-3.76, 3 Pm 3.61-3.76, 2 Ac 3.68-3.77
Tb 0.6170 0.4669 0.4158  6 Tb 3.54-3.73, 5 Pm 3.58-3.74, 1 Ac 3.68
Tb 0.7160 0.8525 0.4428  6 Tb 3.50-3.76, 4 Pm 3.60-3.71, 2 Ac 3.64-3.81
Tb 0.7541 0.0443 0.6933  7 Tb 3.50-3.80, 3 Pm 3.64-3.70, 2 Ac 3.65-3.81
Tb 0.9067 0.6061 0.9840  6 Tb 3.57-3.80, 4 Pm 3.58-3.63, 2 Ac 3.68-3.77
Pm 0.1341 0.5576 0.2987  8 Tb 3.52-3.78, 2 Pm 3.64-3.70, 2 Ac 3.67-3.82
Pm 0.1863 0.7561 0.5638  8 Tb 3.58-3.74, 3 Pm 3.62-3.70, 1 Ac 3.69
Pm 0.3367 0.3367 0.8386  7 Tb 3.54-3.79, 3 Pm 3.56-3.69, 2 Ac 3.67-3.82
Pm 0.8532 0.4252 0.7203  4 Pm 3.56-3.69, 7 Tb 3.58-3.76, 1 Ac 3.68



(7)
First-principles (PBE-GGA) data for a relaxed structure of AcTb6Pm, as listed in the Alexandria database.

Properties
The formation energy from the elements comes out at 36 meV/atom. As for the space-group type: P4/mmm (123). The value obtained for the energy above the most stable polymorph in this dataset is 0.000 eV/atom.

Unit cell a=5.1231 b=5.1231 c=10.2583 alpha=90.00 beta=90.00 gamma=90.00
Closest atoms and distances in Å follow each position.
Positions (direct):
Ac 0.0000 0.0000 0.0000  12 Tb 3.62-3.67
Tb 0.0000 0.5000 0.2564  8 Tb 3.58-3.67, 2 Pm 3.58, 2 Ac 3.67
Tb 0.0000 0.5000 0.7436  8 Tb 3.58-3.67, 2 Pm 3.58, 2 Ac 3.67
Tb 0.5000 0.0000 0.2564  8 Tb 3.58-3.67, 2 Pm 3.58, 2 Ac 3.67
Tb 0.5000 0.0000 0.7436  8 Tb 3.58-3.67, 2 Pm 3.58, 2 Ac 3.67
Tb 0.5000 0.5000 0.0000  4 Ac 3.62, 8 Tb 3.67
Tb 0.5000 0.5000 0.5000  8 Tb 3.58, 4 Pm 3.62
Pm 0.0000 0.0000 0.5000  12 Tb 3.58-3.62



(8)
First-principles (PBE-GGA) data for a relaxed structure of AcTbPm2Te5, as listed in the Alexandria database.

Properties
For the raw formation energy, the calculation gives -881.3 meV per atom. As for the space-group type: P4/mmm (123).

Unit cell a=5.5602 b=5.5602 c=12.2482 alpha=90.00 beta=90.00 gamma=90.00
Closest atoms and distances in Å follow each position.
Positions (direct):
Ac 0.0000 0.0000 0.0000  2 Te 3.14
Tb 0.0000 0.0000 0.5000  6 Te 2.78-2.99
Pm 0.5000 0.5000 0.3554  4 Te 3.30, 1 Pm 3.54
Pm 0.5000 0.5000 0.6446  4 Te 3.30, 1 Pm 3.54
Te 0.0000 0.0000 0.2561  1 Tb 2.99, 1 Ac 3.14
Te 0.0000 0.0000 0.7439  1 Tb 2.99, 1 Ac 3.14
Te 0.0000 0.5000 0.5000  2 Tb 2.78
Te 0.5000 0.0000 0.5000  2 Tb 2.78
Te 0.5000 0.5000 0.0000  4 Ac 3.93, 2 Pm 4.35



Calculated total energy for the records above, in order: -0.324 -0.338 -0.297 -0.328 -0.306 -0.334 -0.334 -0.342 Ry per atom